## w
Crystalline TcPbOF2 at its relaxed geometry. Source: the Alexandria database, functional PBE.

Cell lengths 4.6956, 4.6956, 3.7859 Å; angles 90.00, 90.00, 90.00 degrees
With the nearest neighbours (Å) after each atom.
Atoms (fractional coordinates):
Pb 0.5000 0.5000 0.5000  8 F 3.02, 4 O 3.32
Tc 0.0000 0.0000 0.0000  2 O 1.89
O 0.0000 0.0000 0.5000  2 Tc 1.89
F 0.0000 0.5000 0.0000  2 Tc 2.35
F 0.5000 0.0000 0.0000  2 Tc 2.35

## Properties
- Crystal system: tetragonal
- M_tot: 0.086 μB/atom
- Symmetry: P4/mmm (123)

---

## x
Crystalline TcPbOF2 at its relaxed geometry. Source: the Alexandria database, functional PBE.

Cell lengths 4.5992, 4.5992, 4.4359 Å; angles 90.00, 90.00, 90.00 degrees
With the nearest neighbours (Å) after each atom.
Atoms (fractional coordinates):
Pb 0.0000 0.0000 0.0000  2 O 2.22, 4 F 2.30
Tc 0.5000 0.5000 0.5000  8 F 3.19, 4 O 3.25
O 0.0000 0.0000 0.5000  2 Pb 2.22
F 0.0000 0.5000 0.0000  2 Pb 2.30
F 0.5000 0.0000 0.0000  2 Pb 2.30

## Properties
- Crystal system: tetragonal
- M_tot: 0.896 μB/atom
- Symmetry: P4/mmm (123)

---

Most stable structure, least stable structure: w, x.